# 1
PmAs2Pd: relaxed, GGA-PBE.

Lattice parameters (Å, degrees): 4.8604 4.8604 4.8604 60.00 60.00 60.00
Last column: nearest neighbours and their distance in Å.
Fractional coordinates of all 4 atoms:
As1 0.7500 0.7500 0.7500  4 Pm 2.98, 4 Pd 2.98
As2 0.2500 0.2500 0.2500  4 Pm 2.98, 4 Pd 2.98
Pm1 0.0000 0.0000 0.0000  8 As 2.98
Pd1 0.5000 0.5000 0.5000  8 As 2.98

- Offset from the most stable computed form: 0.321 eV per atom
- Formation enthalpy at 0 K: -0.565 eV/atom

***

# 2
SmCdSi2Pt5: relaxed, GGA-PBE.

Lattice parameters (Å, degrees): 4.0672 4.0672 11.0246 90.00 90.00 90.00
Last column: nearest neighbours and their distance in Å.
Fractional coordinates of all 9 atoms:
Pt1 0.5000 0.0000 0.8197  2 Si 2.35
Pt2 0.0000 0.5000 0.1803  2 Si 2.35
Pt3 0.5000 0.0000 0.1803  2 Si 2.35
Pt4 0.5000 0.5000 0.5000  2 Si 2.35
Pt5 0.0000 0.5000 0.8197  2 Si 2.35
Si1 0.5000 0.5000 0.2872  5 Pt 2.35
Si2 0.5000 0.5000 0.7128  5 Pt 2.35
Cd1 0.0000 0.0000 0.0000  8 Pt 2.84
Sm1 0.0000 0.0000 0.5000  4 Pt 2.88

- Formation energy from raw total energies: -0.661 eV per atom

***

# 3
PuHfRuRh: relaxed, GGA-PBE.

Lattice parameters (Å, degrees): 4.7090 4.7090 4.7090 60.00 60.00 60.00
Last column: nearest neighbours and their distance in Å.
Fractional coordinates of all 4 atoms:
Hf1 0.0000 0.0000 0.0000  4 Rh 2.88, 4 Ru 2.88
Ru1 0.2500 0.2500 0.2500  4 Hf 2.88, 4 Pu 2.88
Rh1 0.7500 0.7500 0.7500  4 Hf 2.88, 4 Pu 2.88
Pu1 0.5000 0.5000 0.5000  4 Ru 2.88, 4 Rh 2.88

- Formation enthalpy at 0 K: -0.477 eV/atom

***

# 4
ZnGe2Mo2: relaxed, GGA-PBE.

Lattice parameters (Å, degrees): 6.7803 6.7803 3.3837 90.00 90.00 90.00
Last column: nearest neighbours and their distance in Å.
Fractional coordinates of all 10 atoms:
Zn1 0.5000 0.5000 0.0000  4 Ge 2.62
Zn2 0.0000 0.0000 0.0000  4 Ge 2.62
Mo1 0.6588 0.8412 0.5000  6 Ge 2.57-2.64
Mo2 0.1588 0.6588 0.5000  6 Ge 2.57-2.64
Mo3 0.8412 0.3412 0.5000  6 Ge 2.57-2.64
Mo4 0.3412 0.1588 0.5000  6 Ge 2.57-2.64
Ge1 0.1397 0.3603 0.0000  6 Mo 2.57-2.64, 2 Zn 2.62, 1 Ge 2.68
Ge2 0.6397 0.1397 0.0000  6 Mo 2.57-2.64, 2 Zn 2.62, 1 Ge 2.68
Ge3 0.3603 0.8603 0.0000  6 Mo 2.57-2.64, 2 Zn 2.62, 1 Ge 2.68
Ge4 0.8603 0.6397 0.0000  6 Mo 2.57-2.64, 2 Zn 2.62, 1 Ge 2.68

- Offset from the most stable computed form: 0.082 eV per atom
- Formation enthalpy at 0 K: 0.102 eV/atom

***

Magnetization
In order: 0.00 0.00 4.79 0.00
Unit: Bohr magnetons per cell